(1)
Density functional theory data (GGA-PBE) for V2Co8B after structural relaxation.

## Properties
Crystal system: orthorhombic
Formation energy in meV per atom: -74
SG: Immm

Cell: 4.000 5.017 6.702 Å, 111.98 107.36 90.00°
Last column: magnetic moment on the atom in μB.
Element x y z (fractional)
Co1 0.626 0.382 0.252  0.79
B1 0.500 0.000 0.000  -0.06
Co2 0.000 0.243 0.000  1.38
Co3 0.374 0.618 0.748  0.79
Co4 0.816 0.816 0.632  1.00
V1 0.806 0.306 0.611  -0.57
Co5 0.374 0.130 0.748  0.79
Co6 0.000 0.757 0.000  1.38
Co7 0.626 0.870 0.252  0.79
V2 0.194 0.694 0.389  -0.57
Co8 0.184 0.184 0.368  1.00

(2)
Density functional theory data (GGA-PBE) for VCoB2 after structural relaxation.

## Properties
Crystal system: trigonal
Formation energy in meV per atom: -308
SG: R-3m

Cell: 3.302 3.302 4.199 Å, 66.85 66.85 60.00°
Element x y z (fractional)
Co1 0.500 0.500 0.500
V1 0.000 0.000 0.000
B1 0.787 0.787 0.640
B2 0.213 0.213 0.360

(3)
Density functional theory data (GGA-PBE) for V4CoB after structural relaxation.

## Properties
Crystal system: monoclinic
Formation energy in meV per atom: 129
SG: P2_1/c

Cell: 5.012 4.967 6.054 Å, 90.00 83.97 90.00°
Element x y z (fractional)
V1 0.604 0.100 0.815
V2 0.896 0.600 0.185
B1 0.500 0.000 0.500
B2 0.000 0.500 0.500
V3 0.121 0.873 0.622
V4 0.621 0.627 0.622
V5 0.379 0.373 0.378
V6 0.396 0.900 0.185
V7 0.104 0.400 0.815
Co1 0.500 0.500 0.000
Co2 0.000 0.000 0.000
V8 0.879 0.127 0.378

| no. | density of states at the Fermi level (states/eV per atom) | total moment (μB per atom) |
| --- | --- | --- |
| 1 | 0.998 | 0.593 |
| 2 | 0.459 | 0.000 |
| 3 | 0.842 | 0.000 |